1.
{"formula": "Ce2MgAl", "functional": "SCAN", "state": "single point on PBEsol structure", "dos_ef_per_ev_cell": 7.7, "formation_energy_ev_per_atom": -0.091, "cell": [[0.000, 3.670, 3.670], [3.670, 0.000, 3.670], [3.670, 3.670, 0.000]], "species": ["Ce", "Ce", "Mg", "Al"], "frac_coords": [[0.250, 0.250, 0.250], [0.750, 0.750, 0.750], [0.000, 0.000, 0.000], [0.500, 0.500, 0.500]]}

---

2.
{"formula": "Ce2Mn7Al10", "functional": "SCAN", "state": "single point on PBEsol structure", "dos_ef_per_ev_cell": 16.5, "formation_energy_ev_per_atom": -0.391, "cell": [[4.997, -4.458, 0.000], [4.997, 4.458, 0.000], [-1.103, 0.000, 6.608]], "species": ["Ce", "Ce", "Mn", "Mn", "Mn", "Mn", "Mn", "Mn", "Mn", "Al", "Al", "Al", "Al", "Al", "Al", "Al", "Al", "Al", "Al"], "frac_coords": [[0.000, 0.000, 0.000], [0.695, 0.695, 0.299], [0.010, 0.010, 0.482], [0.208, 0.689, 0.302], [0.354, 0.354, 0.146], [0.356, 0.843, 0.637], [0.689, 0.208, 0.302], [0.691, 0.691, 0.786], [0.843, 0.356, 0.637], [0.006, 0.507, 0.986], [0.042, 0.665, 0.631], [0.049, 0.350, 0.346], [0.233, 0.233, 0.747], [0.350, 0.049, 0.346], [0.355, 0.649, 0.940], [0.460, 0.460, 0.533], [0.507, 0.006, 0.986], [0.649, 0.355, 0.940], [0.665, 0.042, 0.631]]}

---

3.
{"formula": "CeAl4Ni", "functional": "SCAN", "state": "single point on PBEsol structure", "dos_ef_per_ev_cell": 7.7, "formation_energy_ev_per_atom": -0.580, "cell": [[2.038, -7.713, 0.000], [2.038, 7.713, 0.000], [0.000, 0.000, 6.548]], "species": ["Ce", "Ce", "Al", "Al", "Al", "Al", "Al", "Al", "Al", "Al", "Ni", "Ni"], "frac_coords": [[0.115, 0.885, 0.750], [0.885, 0.115, 0.250], [0.078, 0.922, 0.250], [0.311, 0.689, 0.552], [0.311, 0.689, 0.948], [0.500, 0.500, 0.000], [0.500, 0.500, 0.500], [0.689, 0.311, 0.052], [0.689, 0.311, 0.448], [0.922, 0.078, 0.750], [0.227, 0.773, 0.250], [0.773, 0.227, 0.750]]}

---

4.
{"formula": "CeAl2Ni", "functional": "SCAN", "state": "single point on PBEsol structure", "dos_ef_per_ev_cell": 9.4, "formation_energy_ev_per_atom": -0.580, "cell": [[2.028, -5.173, 0.000], [2.028, 5.173, 0.000], [0.000, 0.000, 6.803]], "species": ["Ce", "Ce", "Al", "Al", "Al", "Al", "Ni", "Ni"], "frac_coords": [[0.054, 0.946, 0.750], [0.946, 0.054, 0.250], [0.338, 0.662, 0.555], [0.338, 0.662, 0.945], [0.662, 0.338, 0.055], [0.662, 0.338, 0.445], [0.217, 0.783, 0.250], [0.783, 0.217, 0.750]]}

---

5.
{"formula": "CeAlNi", "functional": "SCAN", "state": "single point on PBEsol structure", "dos_ef_per_ev_cell": 5.1, "formation_energy_ev_per_atom": -0.578, "cell": [[6.760, 0.000, 0.000], [-3.380, 5.854, 0.000], [0.000, 0.000, 4.022]], "species": ["Ce", "Ce", "Ce", "Al", "Al", "Al", "Ni", "Ni", "Ni"], "frac_coords": [[0.000, 0.575, 0.000], [0.425, 0.425, 0.000], [0.575, 0.000, 0.000], [0.000, 0.233, 0.500], [0.233, 0.000, 0.500], [0.767, 0.767, 0.500], [0.000, 0.000, 0.000], [0.333, 0.667, 0.500], [0.667, 0.333, 0.500]]}

---

6.
{"formula": "CeAlO3", "functional": "SCAN", "state": "single point on PBEsol structure", "formation_energy_uncorrected_ev_per_atom": -3.5815, "cell": [[3.743, 0.000, 0.000], [0.000, 3.743, 0.000], [0.000, 0.000, 3.743]], "species": ["Ce", "Al", "O", "O", "O"], "frac_coords": [[0.000, 0.000, 0.000], [0.500, 0.500, 0.500], [0.000, 0.500, 0.500], [0.500, 0.000, 0.500], [0.500, 0.500, 0.000]]}

---

7.
{"formula": "CeAlO3", "functional": "SCAN", "state": "single point on PBEsol structure", "formation_energy_uncorrected_ev_per_atom": -3.5877, "cell": [[-2.651, 3.734, 2.668], [2.651, -3.734, 2.668], [2.651, 3.734, -2.668]], "species": ["Ce", "Ce", "Al", "Al", "O", "O", "O", "O", "O", "O"], "frac_coords": [[0.251, 0.001, 0.250], [0.749, 0.999, 0.750], [0.000, 0.500, 0.500], [0.500, 0.500, 0.000], [0.199, 0.449, 0.750], [0.277, 0.000, 0.777], [0.277, 0.500, 0.277], [0.723, 0.000, 0.223], [0.723, 0.500, 0.723], [0.801, 0.551, 0.250]]}

---

8.
{"formula": "Ce3AlO", "functional": "SCAN", "state": "single point on PBEsol structure", "dos_ef_per_ev_cell": 7.4, "formation_energy_uncorrected_ev_per_atom": -1.3544, "cell": [[4.745, 0.000, 0.000], [0.000, 4.745, 0.000], [0.000, 0.000, 4.745]], "species": ["Ce", "Ce", "Ce", "Al", "O"], "frac_coords": [[0.000, 0.000, 0.500], [0.000, 0.500, 0.000], [0.500, 0.000, 0.000], [0.500, 0.500, 0.500], [0.000, 0.000, 0.000]]}

---

Please write out number 1 again, unchanged.
{"formula": "Ce2MgAl", "functional": "SCAN", "state": "single point on PBEsol structure", "dos_ef_per_ev_cell": 7.7, "formation_energy_ev_per_atom": -0.091, "cell": [[0.000, 3.670, 3.670], [3.670, 0.000, 3.670], [3.670, 3.670, 0.000]], "species": ["Ce", "Ce", "Mg", "Al"], "frac_coords": [[0.250, 0.250, 0.250], [0.750, 0.750, 0.750], [0.000, 0.000, 0.000], [0.500, 0.500, 0.500]]}